#one
VPdIN2: relaxed, PBE.

The structure in POSCAR format:
```
VPdIN2
1.0
3.784 0.000 0.000
0.000 3.784 0.000
0.000 0.000 5.997
V N Pd I
1 2 1 1
Cartesian
0.000 0.000 0.000
1.892 0.000 0.000
0.000 1.892 0.000
1.892 1.892 2.999
0.000 0.000 2.999
```

Properties
DOS(E_F)	2.8	states/eV/cell
space group	P4/mmm, No. 123

#two
VPdIN2: relaxed, PBE.

The structure in POSCAR format:
```
VPdIN2
1.0
3.911 0.000 0.000
0.000 3.911 0.000
0.000 0.000 7.188
N I V Pd
2 1 1 1
Cartesian
1.956 0.000 0.000
0.000 1.956 0.000
0.000 0.000 3.594
1.956 1.956 3.594
0.000 0.000 0.000
```

Properties
DOS(E_F)	7.8	states/eV/cell
space group	P4/mmm, No. 123

Which is most stable, and by how much? #one, by 1285 meV per atom.

#one
ZnPdIN2: relaxed, PBE.

The structure in POSCAR format:
```
ZnPdIN2
1.0
-2.512 2.515 1.550
-1.401 -2.805 2.281
5.241 1.849 5.492
N I Pd Zn
2 1 1 1
Cartesian
-1.256 1.258 0.775
-0.701 -1.403 1.141
2.620 0.924 2.746
0.000 0.000 0.000
0.664 0.779 4.662
```

Properties
DOS(E_F)	4.0	states/eV/cell
space group	P4/mmm, No. 123

#two
ZnPdIN2: relaxed, PBE.

The structure in POSCAR format:
```
ZnPdIN2
1.0
3.942 0.000 0.000
0.000 3.942 0.000
0.000 0.000 6.382
N Pd I Zn
2 1 1 1
Cartesian
1.971 0.000 0.000
0.000 1.971 0.000
1.971 1.971 3.191
0.000 0.000 3.191
0.000 0.000 0.000
```

Properties
DOS(E_F)	2.1	states/eV/cell
space group	P4/mmm, No. 123

Which is most stable, and by how much? #one, by 104 meV per atom.